# 1
Pr2TlH2 | GGA-PBE | relaxed

The structure belongs to space group I4/mmm (No. 139); the cell edges are 4.056, 4.056 and 12.359 Å and the angles 90.00°, 90.00° and 90.00°. Symmetry generates all atoms from Pr at (0.000, 0.000, 0.150), Tl at (0.000, 0.000, 0.500) and H at (0.000, 0.500, 0.250).

The total energy is -4.2814 eV per atom.



# 2
BaIr2 | GGA-PBE | relaxed

The structure belongs to space group Cm (No. 8); the cell edges are 11.562, 3.032 and 8.037 Å and the angles 90.00°, 91.79° and 90.00°. Symmetry generates all atoms from Ba at (0.000, 0.000, 0.000), Ba at (0.235, 0.000, 0.660), Ir at (0.128, 0.500, 0.322), Ir at (0.241, 0.500, 0.036), Ir at (0.320, 0.000, 0.293) and Ir at (0.470, 0.500, 0.450).

The total energy is -6.2037 eV per atom.



# 3
Ca2AcCu | GGA-PBE | relaxed

The structure belongs to space group P2_1/m (No. 11); the cell edges are 3.994, 10.810 and 6.624 Å and the angles 90.00°, 107.46° and 90.00°. Symmetry generates all atoms from Ca at (0.138, 0.069, 0.276), Ac at (0.413, 0.250, 0.826) and Cu at (0.269, 0.750, 0.538).

The total energy is -3.0872 eV per atom.



# 4
Cs2K3TcO6 | GGA-PBE | relaxed

The structure belongs to space group C2/m (No. 12); the cell edges are 6.834, 12.142 and 6.294 Å and the angles 90.00°, 112.08° and 90.00°. Symmetry generates all atoms from Cs at (0.000, 0.170, 0.000), K at (0.000, 0.000, 0.500), K at (0.000, 0.357, 0.500), Tc at (0.000, 0.500, 0.000), O at (0.174, 0.500, 0.820) and O at (0.178, 0.388, 0.199).

The total energy is -5.2035 eV per atom.



# 5
LuTaTc4 | GGA-PBE | relaxed

The structure belongs to space group F-43m (No. 216); the cell edges are 7.418, 7.418 and 7.418 Å and the angles 90.00°, 90.00° and 90.00°. Symmetry generates all atoms from Lu at (0.000, 0.000, 0.000), Ta at (0.250, 0.250, 0.250) and Tc at (0.125, 0.125, 0.625).

The total energy is -9.7747 eV per atom.



# 6
MnTc2Ni | GGA-PBE | relaxed

The structure belongs to space group C2/m (No. 12); the cell edges are 8.710, 2.673 and 4.603 Å and the angles 90.00°, 100.08° and 90.00°. Symmetry generates all atoms from Mn at (0.000, 0.000, 0.000), Tc at (0.248, 0.000, 0.749) and Ni at (0.000, 0.500, 0.500).

The total energy is -8.8022 eV per atom.